[1]
First-principles (GGA-PBE) data for LaTb6Sm3Dy2 after structural relaxation, as listed in Alexandria.

Cell and atoms, written as CIF:
```
data_LaTb6Sm3Dy2
_cell_length_a 6.222
_cell_length_b 10.772
_cell_length_c 11.903
_cell_angle_alpha 90.00
_cell_angle_beta 100.00
_cell_angle_gamma 90.00
_space_group_name_H-M_alt 'C 1 2/m 1'
_space_group_IT_number 12
loop_
_space_group_symop_operation_xyz
'x,y,z'
'-x,-y,-z'
'-x,y,-z'
'x,-y,z'
'x+1/2,y+1/2,z'
'-x+1/2,-y+1/2,-z'
'-x+1/2,y+1/2,-z'
'x+1/2,-y+1/2,z'
loop_
_atom_site_label
_atom_site_fract_x
_atom_site_fract_y
_atom_site_fract_z
_atom_site_occupancy
La1 0.000 0.000 0.000 1
Tb1 0.249 0.333 0.750 1
Tb2 0.249 0.500 0.250 1
Sm1 0.000 0.167 0.500 1
Sm2 0.000 0.500 0.500 1
Dy1 0.000 0.333 0.000 1
```

Results
The energy relative to the elements is 0.20 eV per formula unit.

=====

[2]
First-principles (GGA-PBE) data for CaCuTc2 after structural relaxation, as listed in Alexandria.

Cell and atoms, written as CIF:
```
data_CaCuTc2
_cell_length_a 4.361
_cell_length_b 4.684
_cell_length_c 6.418
_cell_angle_alpha 90.00
_cell_angle_beta 90.00
_cell_angle_gamma 90.00
_space_group_name_H-M_alt 'I m m 2'
_space_group_IT_number 44
loop_
_space_group_symop_operation_xyz
'x,y,z'
'-x,-y,z'
'-x,y,z'
'x,-y,z'
'x+1/2,y+1/2,z+1/2'
'-x+1/2,-y+1/2,z+1/2'
'-x+1/2,y+1/2,z+1/2'
'x+1/2,-y+1/2,z+1/2'
loop_
_atom_site_label
_atom_site_fract_x
_atom_site_fract_y
_atom_site_fract_z
_atom_site_occupancy
Ca1 0.000 0.000 0.000 1
Cu1 0.000 0.500 0.242 1
Tc1 0.000 0.000 0.487 1
Tc2 0.000 0.500 0.767 1
```

Results
The polymorph energy (0 for the lowest one) is 0.893 eV/f.u. The energy relative to the elements is 1.70 eV per formula unit.

=====

[3]
First-principles (GGA-PBE) data for MgBeCl after structural relaxation, as listed in Alexandria.

Cell and atoms, written as CIF:
```
data_MgBeCl
_cell_length_a 4.5472
_cell_length_b 4.5472
_cell_length_c 3.0231
_cell_angle_alpha 90.00
_cell_angle_beta 90.00
_cell_angle_gamma 120.00
_space_group_name_H-M_alt 'P 3 m 1'
_space_group_IT_number 156
loop_
_space_group_symop_operation_xyz
'x,y,z'
'-y,x-y,z'
'-x+y,-x,z'
'-y,-x,z'
'-x+y,y,z'
'x,x-y,z'
loop_
_atom_site_label
_atom_site_fract_x
_atom_site_fract_y
_atom_site_fract_z
_atom_site_occupancy
Mg1 0.0000 0.0000 0.0000 1
Be1 0.3333 0.6667 0.5004 1
Cl1 0.6667 0.3333 0.5024 1
```

Results
The polymorph energy (0 for the lowest one) is 2.699 eV/f.u. The calculation puts the uncorrected formation energy at 0.338 eV per atom.

=====

[4]
First-principles (GGA-PBE) data for Rb4ZnAu4 after structural relaxation, as listed in Alexandria.

Cell and atoms, written as CIF:
```
data_Rb4ZnAu4
_cell_length_a 9.548
_cell_length_b 9.548
_cell_length_c 7.055
_cell_angle_alpha 90.00
_cell_angle_beta 90.00
_cell_angle_gamma 90.00
_space_group_name_H-M_alt 'P 42/n'
_space_group_IT_number 86
loop_
_space_group_symop_operation_xyz
'x,y,z'
'-x,-y,-z'
'-y,x+1/2,z+1/2'
'y,-x+1/2,-z+1/2'
'-x+1/2,-y+1/2,z'
'x+1/2,y+1/2,-z'
'y+1/2,-x,z+1/2'
'-y+1/2,x,-z+1/2'
loop_
_atom_site_label
_atom_site_fract_x
_atom_site_fract_y
_atom_site_fract_z
_atom_site_occupancy
Rb1 0.035 0.676 0.104 1
Zn1 0.250 0.250 0.250 1
Au1 0.036 0.373 0.408 1
```

Results
The energy relative to the elements is -2.18 eV per formula unit.

=====

[5]
First-principles (GGA-PBE) data for TlP2Pd7 after structural relaxation, as listed in Alexandria.

Cell and atoms, written as CIF:
```
data_TlP2Pd7
_cell_length_a 4.014
_cell_length_b 4.014
_cell_length_c 20.012
_cell_angle_alpha 90.00
_cell_angle_beta 90.00
_cell_angle_gamma 90.00
_space_group_name_H-M_alt 'I 4/m m m'
_space_group_IT_number 139
_space_group_name_Hall '-I 4 2'
loop_
_atom_site_label
_atom_site_fract_x
_atom_site_fract_y
_atom_site_fract_z
_atom_site_occupancy
Tl1 0.000 0.000 0.000 1
P1 0.000 0.000 0.326 1
Pd1 0.000 0.000 0.500 1
Pd2 0.000 0.500 0.109 1
Pd3 0.000 0.500 0.250 1
```

Results
The energy relative to the elements is -4.05 eV per formula unit.

=====

[6]
First-principles (GGA-PBE) data for BaSrH6Pt2 after structural relaxation, as listed in Alexandria.

Cell and atoms, written as CIF:
```
data_BaSrH6Pt2
_cell_length_a 9.507
_cell_length_b 9.045
_cell_length_c 7.516
_cell_angle_alpha 90.00
_cell_angle_beta 111.57
_cell_angle_gamma 90.00
_space_group_name_H-M_alt 'C 1 2/c 1'
_space_group_IT_number 15
loop_
_space_group_symop_operation_xyz
'x,y,z'
'-x,-y,-z'
'-x,y,-z+1/2'
'x,-y,z+1/2'
'x+1/2,y+1/2,z'
'-x+1/2,-y+1/2,-z'
'-x+1/2,y+1/2,-z+1/2'
'x+1/2,-y+1/2,z+1/2'
loop_
_atom_site_label
_atom_site_fract_x
_atom_site_fract_y
_atom_site_fract_z
_atom_site_occupancy
Ba1 0.000 0.103 0.250 1
Sr1 0.000 0.437 0.750 1
H1 0.040 0.335 0.064 1
H2 0.086 0.183 0.759 1
H3 0.247 0.410 0.360 1
Pt1 0.232 0.326 0.155 1
```

Results
The calculation puts the total energy at -0.1506 Ha/atom.

=====

[7]
First-principles (GGA-PBE) data for Rb2InSe2 after structural relaxation, as listed in Alexandria.

Cell and atoms, written as CIF:
```
data_Rb2InSe2
_cell_length_a 6.178
_cell_length_b 6.178
_cell_length_c 10.908
_cell_angle_alpha 90.00
_cell_angle_beta 90.00
_cell_angle_gamma 90.00
_space_group_name_H-M_alt 'I 4/m m m'
_space_group_IT_number 139
_space_group_name_Hall '-I 4 2'
loop_
_atom_site_label
_atom_site_fract_x
_atom_site_fract_y
_atom_site_fract_z
_atom_site_occupancy
Rb1 0.000 0.000 0.153 1
In1 0.000 0.000 0.500 1
Se1 0.000 0.500 0.250 1
```

Results
The polymorph energy (0 for the lowest one) is 3.025 eV/f.u. The calculation puts the uncorrected formation energy at -0.282 eV per atom.

=====

[8]
First-principles (GGA-PBE) data for TlBPt2 after structural relaxation, as listed in Alexandria.

Cell and atoms, written as CIF:
```
data_TlBPt2
_cell_length_a 3.3794
_cell_length_b 3.3794
_cell_length_c 19.9945
_cell_angle_alpha 90.00
_cell_angle_beta 90.00
_cell_angle_gamma 120.00
_space_group_name_H-M_alt 'R -3 m'
_space_group_IT_number 166
_space_group_name_Hall '-R 3 2"'
loop_
_atom_site_label
_atom_site_fract_x
_atom_site_fract_y
_atom_site_fract_z
_atom_site_occupancy
Tl1 0.0000 0.0000 0.0000 1
B1 0.0000 0.0000 0.5000 1
Pt1 0.0000 0.0000 0.2186 1
```

Results
The energy relative to the elements is -0.22 eV per formula unit.

=====

[9]
First-principles (GGA-PBE) data for Ca2InTe after structural relaxation, as listed in Alexandria.

Cell and atoms, written as CIF:
```
data_Ca2InTe
_cell_length_a 12.218
_cell_length_b 4.110
_cell_length_c 5.126
_cell_angle_alpha 90.00
_cell_angle_beta 103.68
_cell_angle_gamma 90.00
_space_group_name_H-M_alt 'C 1 m 1'
_space_group_IT_number 8
loop_
_space_group_symop_operation_xyz
'x,y,z'
'x,-y,z'
'x+1/2,y+1/2,z'
'x+1/2,-y+1/2,z'
loop_
_atom_site_label
_atom_site_fract_x
_atom_site_fract_y
_atom_site_fract_z
_atom_site_occupancy
Ca1 0.000 0.000 0.000 1
Ca2 0.247 0.500 0.474 1
In1 0.265 0.000 0.991 1
Te1 0.477 0.000 0.474 1
```

Results
The polymorph energy (0 for the lowest one) is 0.257 eV/f.u. The calculation puts the uncorrected formation energy at -0.785 eV per atom.

=====

[10]
First-principles (GGA-PBE) data for Y2AsOs after structural relaxation, as listed in Alexandria.

Cell and atoms, written as CIF:
```
data_Y2AsOs
_cell_length_a 4.4287
_cell_length_b 4.4287
_cell_length_c 16.0254
_cell_angle_alpha 90.00
_cell_angle_beta 90.00
_cell_angle_gamma 120.00
_space_group_name_H-M_alt 'R 3 m'
_space_group_IT_number 160
_space_group_name_Hall 'R 3 -2"'
loop_
_atom_site_label
_atom_site_fract_x
_atom_site_fract_y
_atom_site_fract_z
_atom_site_occupancy
Y1 0.0000 0.0000 0.0000 1
Y2 0.0000 0.0000 0.1954 1
As1 0.0000 0.0000 0.7767 1
Os1 0.0000 0.0000 0.4215 1
```

Results
The polymorph energy (0 for the lowest one) is 1.022 eV/f.u. The energy relative to the elements is -1.71 eV per formula unit.

=====

[11]
First-principles (GGA-PBE) data for LiNbZn after structural relaxation, as listed in Alexandria.

Cell and atoms, written as CIF:
```
data_LiNbZn
_cell_length_a 6.113
_cell_length_b 6.113
_cell_length_c 6.113
_cell_angle_alpha 90.00
_cell_angle_beta 90.00
_cell_angle_gamma 90.00
_space_group_name_H-M_alt 'F -4 3 m'
_space_group_IT_number 216
_space_group_name_Hall 'F -4 2 3'
loop_
_atom_site_label
_atom_site_fract_x
_atom_site_fract_y
_atom_site_fract_z
_atom_site_occupancy
Li1 0.000 0.000 0.000 1
Nb1 0.250 0.250 0.750 1
Zn1 0.000 0.000 0.500 1
```

Results
The polymorph energy (0 for the lowest one) is 3.067 eV/f.u. The energy relative to the elements is 2.92 eV per formula unit.

=====

[12]
First-principles (GGA-PBE) data for YZnTe3 after structural relaxation, as listed in Alexandria.

Cell and atoms, written as CIF:
```
data_YZnTe3
_cell_length_a 5.885
_cell_length_b 5.885
_cell_length_c 5.885
_cell_angle_alpha 90.00
_cell_angle_beta 90.00
_cell_angle_gamma 90.00
_space_group_name_H-M_alt 'P m -3 m'
_space_group_IT_number 221
_space_group_name_Hall '-P 4 2 3'
loop_
_atom_site_label
_atom_site_fract_x
_atom_site_fract_y
_atom_site_fract_z
_atom_site_occupancy
Y1 0.000 0.000 0.000 1
Zn1 0.500 0.500 0.500 1
Te1 0.000 0.000 0.500 1
```

Results
The polymorph energy (0 for the lowest one) is 3.376 eV/f.u. The calculation puts the uncorrected formation energy at -0.053 eV per atom.